Entry 1:
{
  "formula": "HfTiIO2",
  "functional": "GGA-PBEsol",
  "state": "optimized geometry",
  "spacegroup": "P4/mmm, No. 123",
  "formation_energy_uncorrected_ev_per_atom": -0.874,
  "total_magnetization_mub_per_atom": 0.0003,
  "lattice": [[3.9281, 0.0000, 0.0000], [0.0000, 3.9281, 0.0000], [0.0000, 0.0000, 5.3733]],
  "species": ["Hf", "Ti", "I", "O", "O"],
  "fractional_positions": [[0.0000, 0.0000, 0.0000], [0.5000, 0.5000, 0.5000], [0.5000, 0.5000, 0.0000], [0.0000, 0.5000, 0.5000], [0.5000, 0.0000, 0.5000]]
}

=====

Entry 2:
{
  "formula": "YHfIO2",
  "functional": "GGA-PBEsol",
  "state": "optimized geometry",
  "spacegroup": "P4/mmm, No. 123",
  "formation_energy_uncorrected_ev_per_atom": -0.886,
  "total_magnetization_mub_per_atom": 0.0010,
  "lattice": [[4.2819, 0.0000, 0.0000], [0.0000, 4.2819, 0.0000], [0.0000, 0.0000, 5.7526]],
  "species": ["Y", "Hf", "I", "O", "O"],
  "fractional_positions": [[0.0000, 0.0000, 0.0000], [0.5000, 0.5000, 0.5000], [0.0000, 0.0000, 0.5000], [0.0000, 0.5000, 0.0000], [0.5000, 0.0000, 0.0000]]
}

=====

Entry 3:
{
  "formula": "HfZrIO2",
  "functional": "GGA-PBEsol",
  "state": "optimized geometry",
  "spacegroup": "P4/mmm, No. 123",
  "formation_energy_uncorrected_ev_per_atom": -0.998,
  "total_magnetization_mub_per_atom": 0.3790,
  "lattice": [[4.0728, 0.0000, 0.0000], [0.0000, 4.0728, 0.0000], [0.0000, 0.0000, 5.9913]],
  "species": ["Hf", "Zr", "I", "O", "O"],
  "fractional_positions": [[0.0000, 0.0000, 0.0000], [0.5000, 0.5000, 0.5000], [0.5000, 0.5000, 0.0000], [0.0000, 0.5000, 0.5000], [0.5000, 0.0000, 0.5000]]
}

=====

Entry 4:
{
  "formula": "HfZrI2O",
  "functional": "GGA-PBEsol",
  "state": "optimized geometry",
  "spacegroup": "P4/mmm, No. 123",
  "formation_energy_uncorrected_ev_per_atom": -0.499,
  "total_magnetization_mub_per_atom": 0.2951,
  "lattice": [[5.7468, 0.0000, 0.0000], [0.0000, 5.7468, 0.0000], [0.0000, 0.0000, 3.8794]],
  "species": ["Hf", "Zr", "I", "I", "O"],
  "fractional_positions": [[0.0000, 0.0000, 0.0000], [0.5000, 0.5000, 0.5000], [0.0000, 0.5000, 0.5000], [0.5000, 0.0000, 0.5000], [0.5000, 0.5000, 0.0000]]
}